Entry 1:
! GGA-PBE ErNbN2O, optimized geometry; values from VASP
&SYSTEM
  ibrav = 0, nat = 10, ntyp = 4
/
ATOMIC_SPECIES
Er 167.26 Er.upf
Nb 92.91 Nb.upf
N 14.01 N.upf
O 16.00 O.upf
CELL_PARAMETERS angstrom
-3.9044 2.8045 2.8328
3.9044 -2.8045 2.8328
3.9044 2.8045 -2.8328
ATOMIC_POSITIONS crystal
Er 0.0309 0.2500 0.2809
Er 0.9691 0.7500 0.7191
Nb 0.4897 0.4897 0.0000
Nb 0.4897 0.9897 0.5000
N 0.0182 0.1988 0.6811
N 0.0182 0.8372 0.3194
N 0.5177 0.3372 0.3189
N 0.5177 0.6988 0.6806
O 0.3940 0.7734 0.1207
O 0.6527 0.2734 0.8793
! Volume = 12.4 A^3/atom
! Raw total energy = -8.987 eV per atom



Entry 2:
! GGA-PBE ErNbN2O, optimized geometry; values from VASP
&SYSTEM
  ibrav = 0, nat = 20, ntyp = 4
/
ATOMIC_SPECIES
Er 167.26 Er.upf
Nb 92.91 Nb.upf
N 14.01 N.upf
O 16.00 O.upf
CELL_PARAMETERS angstrom
5.5894 0.0000 0.0000
-2.7559 4.8632 0.0000
-2.7867 -1.6079 9.1636
ATOMIC_POSITIONS crystal
Er 0.0000 0.0000 0.0000
Er 0.0013 0.4964 0.5135
Er 0.5621 0.7481 0.2541
Er 0.5714 0.2614 0.7633
Nb 0.2695 0.1309 0.3740
Nb 0.2753 0.6255 0.8914
Nb 0.7537 0.3590 0.1299
Nb 0.7675 0.8495 0.6198
N 0.4201 0.5074 0.5098
N 0.4264 0.0093 0.0097
N 0.6234 0.3573 0.3003
N 0.6261 0.6142 0.0386
N 0.9674 0.9067 0.4743
N 0.9756 0.6701 0.7308
N 0.9807 0.1498 0.2204
N 0.9908 0.4132 0.9815
O 0.1817 0.2835 0.7536
O 0.1864 0.7589 0.2751
O 0.6211 0.1274 0.5574
O 0.6250 0.8876 0.7951
! Volume = 12.5 A^3/atom
! Raw total energy = -9.026 eV per atom



Entry 3:
! GGA-PBE ErNbN2O, optimized geometry; values from VASP
&SYSTEM
  ibrav = 0, nat = 10, ntyp = 4
/
ATOMIC_SPECIES
Er 167.26 Er.upf
Nb 92.91 Nb.upf
N 14.01 N.upf
O 16.00 O.upf
CELL_PARAMETERS angstrom
5.6809 0.0000 0.0000
0.0000 3.8431 0.0000
0.0000 0.0000 6.0211
ATOMIC_POSITIONS crystal
Er 0.2500 0.0000 0.1728
Er 0.7500 0.0000 0.8272
Nb 0.2500 0.5000 0.7164
Nb 0.7500 0.5000 0.2836
N 0.0000 0.5000 0.5000
N 0.2500 0.0000 0.8108
N 0.5000 0.5000 0.5000
N 0.7500 0.0000 0.1892
O 0.0000 0.5000 0.0000
O 0.5000 0.5000 0.0000
! Volume = 13.1 A^3/atom
! Raw total energy = -8.800 eV per atom



Entry 4:
! GGA-PBE ErNbN2O, optimized geometry; values from VASP
&SYSTEM
  ibrav = 0, nat = 10, ntyp = 4
/
ATOMIC_SPECIES
Er 167.26 Er.upf
Nb 92.91 Nb.upf
N 14.01 N.upf
O 16.00 O.upf
CELL_PARAMETERS angstrom
3.8963 -3.9158 0.0000
3.8963 3.9158 0.0000
-3.8845 0.0000 4.0298
ATOMIC_POSITIONS crystal
Er 0.2266 0.2266 0.4933
Er 0.7734 0.7734 0.5067
Nb 0.0000 0.5000 0.0000
Nb 0.5000 0.0000 0.0000
N 0.1972 0.8028 0.5000
N 0.3672 0.3672 0.0810
N 0.6328 0.6328 0.9190
N 0.8028 0.1972 0.5000
O 0.1662 0.8338 0.0000
O 0.8338 0.1662 0.0000
! Volume = 12.3 A^3/atom
! Raw total energy = -8.941 eV per atom



Entry 5:
! GGA-PBE ErNbNO, optimized geometry; values from VASP
&SYSTEM
  ibrav = 0, nat = 8, ntyp = 4
/
ATOMIC_SPECIES
Er 167.26 Er.upf
Nb 92.91 Nb.upf
N 14.01 N.upf
O 16.00 O.upf
CELL_PARAMETERS angstrom
4.6836 0.0000 0.0000
0.0000 4.6836 0.0000
0.0000 0.0000 4.4824
ATOMIC_POSITIONS crystal
Er 0.2500 0.7500 0.0000
Er 0.7500 0.2500 0.0000
Nb 0.2500 0.2500 0.4984
Nb 0.7500 0.7500 0.5016
N 0.2500 0.2500 0.9971
N 0.7500 0.7500 0.0029
O 0.2500 0.7500 0.5000
O 0.7500 0.2500 0.5000
! Offset from the most stable computed form = 13.2 kJ per mole of atoms
! Volume = 12.3 A^3/atom



Entry 6:
! GGA-PBE ErNbN2O, optimized geometry; values from VASP
&SYSTEM
  ibrav = 0, nat = 40, ntyp = 4
/
ATOMIC_SPECIES
Er 167.26 Er.upf
Nb 92.91 Nb.upf
N 14.01 N.upf
O 16.00 O.upf
CELL_PARAMETERS angstrom
7.9772 0.0000 0.0000
0.0000 7.8091 0.0000
-7.8214 0.0000 7.9845
ATOMIC_POSITIONS crystal
Er 0.1738 0.0191 0.2122
Er 0.1738 0.4809 0.7122
Er 0.2347 0.0083 0.7437
Er 0.2347 0.4917 0.2437
Er 0.7653 0.5083 0.7563
Er 0.7653 0.9917 0.2563
Er 0.8262 0.5191 0.2878
Er 0.8262 0.9809 0.7878
Nb 0.2817 0.7410 0.0049
Nb 0.2817 0.7590 0.5049
Nb 0.2878 0.2451 0.5250
Nb 0.2878 0.2549 0.0250
Nb 0.7122 0.7451 0.9750
Nb 0.7122 0.7549 0.4750
Nb 0.7183 0.2410 0.4951
Nb 0.7183 0.2590 0.9951
N 0.1673 0.0049 0.4831
N 0.1673 0.4951 0.9831
N 0.2739 0.5033 0.4783
N 0.2739 0.9967 0.9783
N 0.4098 0.7044 0.9039
N 0.4098 0.7956 0.4039
N 0.4210 0.2342 0.2582
N 0.4210 0.2658 0.7582
N 0.5790 0.7342 0.2418
N 0.5790 0.7658 0.7418
N 0.5902 0.2044 0.5961
N 0.5902 0.2956 0.0961
N 0.7261 0.0033 0.0217
N 0.7261 0.4967 0.5217
N 0.8327 0.5049 0.0169
N 0.8327 0.9951 0.5169
O 0.0455 0.6896 0.5360
O 0.0455 0.8104 0.0360
O 0.0723 0.2437 0.7601
O 0.0723 0.2563 0.2601
O 0.9277 0.7437 0.7399
O 0.9277 0.7563 0.2399
O 0.9545 0.1896 0.9640
O 0.9545 0.3104 0.4640
! Volume = 12.4 A^3/atom
! Raw total energy = -9.009 eV per atom



Entry 7:
! GGA-PBE ErNbN2O, optimized geometry; values from VASP
&SYSTEM
  ibrav = 0, nat = 10, ntyp = 4
/
ATOMIC_SPECIES
Er 167.26 Er.upf
Nb 92.91 Nb.upf
N 14.01 N.upf
O 16.00 O.upf
CELL_PARAMETERS angstrom
3.6120 0.0000 0.0000
0.0000 6.2100 0.0000
0.0000 0.0000 5.7559
ATOMIC_POSITIONS crystal
Er 0.0000 0.1530 0.0000
Er 0.0000 0.8470 0.5000
Nb 0.5000 0.3229 0.5428
Nb 0.5000 0.6771 0.0428
N 0.0000 0.2042 0.6051
N 0.0000 0.7958 0.1051
N 0.5000 0.3984 0.9015
N 0.5000 0.6016 0.4015
O 0.5000 0.1028 0.2699
O 0.5000 0.8972 0.7699
! Volume = 12.9 A^3/atom
! Raw total energy = -9.044 eV per atom



Entry 8:
! GGA-PBE ErNbNO, optimized geometry; values from VASP
&SYSTEM
  ibrav = 0, nat = 16, ntyp = 4
/
ATOMIC_SPECIES
Er 167.26 Er.upf
Nb 92.91 Nb.upf
N 14.01 N.upf
O 16.00 O.upf
CELL_PARAMETERS angstrom
5.5872 0.0000 0.0000
0.0000 7.7382 0.0000
0.0000 0.0000 5.6231
ATOMIC_POSITIONS crystal
Er 0.0492 0.1524 0.0000
Er 0.4508 0.1524 0.5000
Er 0.5492 0.8476 0.0000
Er 0.9508 0.8476 0.5000
Nb 0.0720 0.5611 0.0763
Nb 0.4280 0.5611 0.5763
Nb 0.5720 0.4389 0.0763
Nb 0.9280 0.4389 0.5763
N 0.1261 0.6529 0.7431
N 0.3739 0.6529 0.2431
N 0.6261 0.3471 0.7431
N 0.8739 0.3471 0.2431
O 0.1016 0.0921 0.6268
O 0.3984 0.0921 0.1268
O 0.6016 0.9079 0.6268
O 0.8984 0.9079 0.1268
! Offset from the most stable computed form = 7.4 kJ per mole of atoms
! Volume = 15.2 A^3/atom



- Number 6 is which compound?
  ErNbN2O



- Number 7 is which compound?
  ErNbN2O



- What is the volume in the first record?
  12.4 A^3/atom